Compound: Pb2S13
Source: the Alexandria database
Functional: PBE-GGA
Structure: optimized geometry

Unit cell a=5.023 b=5.023 c=19.170 alpha=82.47 beta=82.47 gamma=60.00
Fractional positions:
Pb  0.355  0.355  0.936
S  0.565  0.565  0.818
Pb  0.645  0.645  0.064
S  0.565  0.053  0.818
S  0.296  0.804  0.605
S  0.296  0.296  0.605
S  0.704  0.196  0.395
S  0.435  0.947  0.182
S  0.804  0.296  0.605
S  0.053  0.565  0.818
S  0.947  0.435  0.182
S  0.704  0.704  0.395
S  0.435  0.435  0.182
S  0.196  0.704  0.395
S  0.500  0.500  0.500

Energy relative to the elements, uncorrected (meV/atom): 485
DOS at the Fermi energy (states/eV per atom): 0.379
Calculated volume (Å³/atom): 27.60

Compound: PbS
Source: the Alexandria database
Functional: PBE-GGA
Structure: optimized geometry

Unit cell a=12.001 b=12.001 c=3.993 alpha=90.00 beta=90.00 gamma=90.00
Fractional positions:
S  0.328  0.133  0.500
Pb  0.603  0.736  0.000
Pb  0.764  0.103  0.500
Pb  0.103  0.236  0.500
Pb  0.236  0.897  0.500
S  0.367  0.828  0.000
S  0.867  0.328  0.500
S  0.828  0.633  0.000
S  0.172  0.367  0.000
S  0.133  0.672  0.500
S  0.633  0.172  0.000
S  0.672  0.867  0.500
Pb  0.264  0.603  0.000
Pb  0.736  0.397  0.000
Pb  0.397  0.264  0.000
Pb  0.897  0.764  0.500

Energy relative to the elements, uncorrected (meV/atom): -388
Calculated volume (Å³/atom): 35.95

Q: The lowest energy relative to the elements, uncorrected belongs to which entry?
A: PbS

Q: What is the formula in the first record?
A: Pb2S13